i | A relaxed Zn2Te2Ir crystal. Source: the Alexandria database, functional GGA-PBE.

Cell and atoms, written as POSCAR:
```
Zn2Te2Ir
1.0
-1.9807 1.9807 7.7392
1.9807 -1.9807 7.7392
1.9807 1.9807 -7.7392
Zn Te Ir
2 2 1
direct
0.0762 0.0762 0.0000
0.9238 0.9238 0.0000
0.2500 0.7500 0.5000
0.7500 0.2500 0.5000
0.5000 0.5000 0.0000
```

=====

ii | A relaxed Zn2Te2Ir crystal. Source: the Alexandria database, functional GGA-PBE.

Cell and atoms, written as POSCAR:
```
Zn2Te2Ir
1.0
6.9813 0.0000 0.0000
0.0000 6.9813 0.0000
0.0000 0.0000 4.0473
Zn Te Ir
4 4 2
direct
0.1283 0.3717 0.0000
0.3717 0.8717 0.0000
0.6283 0.1283 0.0000
0.8717 0.6283 0.0000
0.1904 0.6904 0.5000
0.3096 0.1904 0.5000
0.6904 0.8096 0.5000
0.8096 0.3096 0.5000
0.0000 0.0000 0.0000
0.5000 0.5000 0.0000
```

=====

In order of decreasing stability: ii, i.

=====

i | A relaxed ZnTeIr3 crystal. Source: the Alexandria database, functional GGA-PBE.

Cell and atoms, written as POSCAR:
```
ZnTeIr3
1.0
4.8448 0.0000 0.0000
0.0000 4.8448 0.0000
0.0000 0.0000 4.8448
Zn Te Ir
1 1 3
direct
0.0000 0.0000 0.0000
0.5000 0.5000 0.5000
0.0000 0.5000 0.5000
0.5000 0.0000 0.5000
0.5000 0.5000 0.0000
```

=====

ii | A relaxed ZnTeIr3 crystal. Source: the Alexandria database, functional GGA-PBE.

Cell and atoms, written as POSCAR:
```
ZnTeIr3
1.0
4.5884 0.0000 0.0000
0.0000 4.5884 0.0000
0.0000 0.0000 4.5884
Zn Te Ir
1 1 3
direct
0.0000 0.0000 0.0000
0.5000 0.5000 0.5000
0.0000 0.0000 0.5000
0.0000 0.5000 0.0000
0.5000 0.0000 0.0000
```

=====

In order of decreasing stability: ii, i.

=====

i | A relaxed ZrTeIr crystal. Source: the Alexandria database, functional GGA-PBE.

Cell and atoms, written as POSCAR:
```
ZrTeIr
1.0
2.1169 1.2222 10.3784
-2.1169 1.2222 10.3784
0.0000 -2.4444 10.3784
Zr Te Ir
2 2 2
direct
0.0561 0.0561 0.0561
0.9439 0.9439 0.9439
0.2232 0.2232 0.2232
0.7768 0.7768 0.7768
0.3340 0.3340 0.3340
0.6660 0.6660 0.6660
```

=====

ii | A relaxed ZrTeIr crystal. Source: the Alexandria database, functional GGA-PBE.

Cell and atoms, written as POSCAR:
```
ZrTeIr
1.0
4.3896 0.0000 0.0000
-2.1948 3.8015 0.0000
0.0000 0.0000 3.6929
Zr Te Ir
1 1 1
direct
0.0000 0.0000 0.0000
0.6667 0.3333 0.5278
0.3333 0.6667 0.3870
```

=====

iii | A relaxed ZrTeIr crystal. Source: the Alexandria database, functional GGA-PBE.

Cell and atoms, written as POSCAR:
```
ZrTeIr
1.0
0.0000 3.2285 3.2285
3.2285 0.0000 3.2285
3.2285 3.2285 0.0000
Zr Te Ir
1 1 1
direct
0.0000 0.0000 0.0000
0.5000 0.5000 0.5000
0.7500 0.7500 0.7500
```

=====

iv | A relaxed ZrTeIr crystal. Source: the Alexandria database, functional GGA-PBE.

Cell and atoms, written as POSCAR:
```
ZrTeIr
1.0
-1.6773 1.6773 5.6403
1.6773 -1.6773 5.6403
1.6773 1.6773 -5.6403
Zr Te Ir
1 1 1
direct
0.0000 0.0000 0.0000
0.3068 0.3068 0.0000
0.6214 0.6214 0.0000
```

=====

In order of decreasing stability: i, iii, ii, iv.

=====

i | A relaxed ThIr4 crystal. Source: the Alexandria database, functional GGA-PBE.

Cell and atoms, written as POSCAR:
```
ThIr4
1.0
3.2151 -5.2541 0.0000
3.2151 5.2541 0.0000
0.0000 0.0000 5.6303
Th Ir
2 8
direct
0.2331 0.7669 0.7500
0.7669 0.2331 0.2500
0.0963 0.9037 0.2500
0.2957 0.2957 0.0000
0.2957 0.2957 0.5000
0.3239 0.6761 0.2500
0.6761 0.3239 0.7500
0.7043 0.7043 0.0000
0.7043 0.7043 0.5000
0.9037 0.0963 0.7500
```

=====

ii | A relaxed ThIr4 crystal. Source: the Alexandria database, functional GGA-PBE.

Cell and atoms, written as POSCAR:
```
ThIr4
1.0
4.9738 0.0000 0.0000
0.0000 4.9738 0.0000
0.0000 0.0000 4.9738
Th Ir
1 4
direct
0.0000 0.0000 0.0000
0.0000 0.0000 0.5000
0.0000 0.5000 0.0000
0.5000 0.0000 0.0000
0.5000 0.5000 0.5000
```

=====

In order of decreasing stability: i, ii.

=====

i | A relaxed Th2TlIr crystal. Source: the Alexandria database, functional GGA-PBE.

Cell and atoms, written as POSCAR:
```
Th2TlIr
1.0
3.5812 0.0000 0.0000
0.0000 3.5812 0.0000
0.0000 0.0000 8.2527
Th Tl Ir
2 1 1
direct
0.0000 0.0000 0.2080
0.0000 0.0000 0.7920
0.5000 0.5000 0.5000
0.5000 0.5000 0.0000
```

=====

ii | A relaxed Th2TlIr crystal. Source: the Alexandria database, functional GGA-PBE.

Cell and atoms, written as POSCAR:
```
Th2TlIr
1.0
2.0387 1.1771 8.3746
-2.0387 1.1771 8.3746
0.0000 -2.3541 8.3746
Th Tl Ir
2 1 1
direct
0.0000 0.0000 0.0000
0.2037 0.2037 0.2037
0.4346 0.4346 0.4346
0.6025 0.6025 0.6025
```

=====

iii | A relaxed Th2TlIr crystal. Source: the Alexandria database, functional GGA-PBE.

Cell and atoms, written as POSCAR:
```
Th2TlIr
1.0
3.5415 -2.0454 0.0000
3.5415 2.0454 0.0000
-2.3742 0.0000 8.2893
Th Tl Ir
2 1 1
direct
0.2314 0.2314 0.1949
0.7686 0.7686 0.8051
0.0000 0.0000 0.5000
0.5000 0.5000 0.0000
```

=====

In order of decreasing stability: iii, ii, i.

=====

i | A relaxed TmThIr2 crystal. Source: the Alexandria database, functional GGA-PBE.

Cell and atoms, written as POSCAR:
```
TmThIr2
1.0
2.0320 1.1732 6.5291
-2.0320 1.1732 6.5291
0.0000 -2.3463 6.5291
Tm Th Ir
1 1 2
direct
0.0000 0.0000 0.0000
0.5000 0.5000 0.5000
0.2524 0.2524 0.2524
0.7476 0.7476 0.7476
```

=====

ii | A relaxed TmThIr2 crystal. Source: the Alexandria database, functional GGA-PBE.

Cell and atoms, written as POSCAR:
```
TmThIr2
1.0
0.0000 3.4977 3.4977
3.4977 0.0000 3.4977
3.4977 3.4977 0.0000
Tm Th Ir
1 1 2
direct
0.0000 0.0000 0.0000
0.5000 0.5000 0.5000
0.2500 0.2500 0.2500
0.7500 0.7500 0.7500
```

=====

iii | A relaxed TmThIr2 crystal. Source: the Alexandria database, functional GGA-PBE.

Cell and atoms, written as POSCAR:
```
TmThIr2
1.0
4.9301 0.0000 0.0000
0.0000 4.9301 0.0000
0.0000 0.0000 3.5057
Tm Th Ir
1 1 2
direct
0.0000 0.0000 0.0000
0.5000 0.5000 0.0000
0.0000 0.5000 0.5000
0.5000 0.0000 0.5000
```

=====

iv | A relaxed TmThIr2 crystal. Source: the Alexandria database, functional GGA-PBE.

Cell and atoms, written as POSCAR:
```
TmThIr2
1.0
4.2494 0.0000 0.0000
0.0000 1.9335 5.3788
0.0000 -1.9335 5.3788
Tm Th Ir
1 1 2
direct
0.0000 0.0000 0.0000
0.5000 0.2821 0.2821
0.0000 0.7283 0.7283
0.5000 0.5483 0.5483
```

=====

In order of decreasing stability: iv, iii, ii, i.